Crystalline Mn3SiBr at its relaxed geometry, computed with GGA-PBE.

```
data_Mn3SiBr
_chemical_formula_sum 'Mn3 Si1 Br1'
_symmetry_space_group_name_H-M 'P m -3 m'
_symmetry_Int_Tables_number 221
_symmetry_space_group_name_Hall '-P 4 2 3'
_cell_length_a 4.864
_cell_length_b 4.864
_cell_length_c 4.864
_cell_angle_alpha 90.00
_cell_angle_beta 90.00
_cell_angle_gamma 90.00
loop_
_atom_site_label
_atom_site_fract_x
_atom_site_fract_y
_atom_site_fract_z
Mn1 0.000 0.000 0.500
Si1 0.000 0.000 0.000
Br1 0.500 0.500 0.500
```

## Properties
uncorrected energy	-6.327	eV/atom
polymorph energy (0 for the lowest one)	0	meV per atom
formation energy from raw total energies	593	meV/atom

=====

Crystalline CaDyCuIr at its relaxed geometry, computed with GGA-PBE.

```
data_CaDyCuIr
_chemical_formula_sum 'Ca4 Dy4 Cu4 Ir4'
_symmetry_space_group_name_H-M 'F -4 3 m'
_symmetry_Int_Tables_number 216
_symmetry_space_group_name_Hall 'F -4 2 3'
_cell_length_a 6.889
_cell_length_b 6.889
_cell_length_c 6.889
_cell_angle_alpha 90.00
_cell_angle_beta 90.00
_cell_angle_gamma 90.00
loop_
_atom_site_label
_atom_site_fract_x
_atom_site_fract_y
_atom_site_fract_z
Ca1 0.000 0.000 0.000
Dy1 0.000 0.000 0.500
Cu1 0.250 0.250 0.250
Ir1 0.250 0.250 0.750
```

## Properties
uncorrected energy	-5.279	eV/atom
DFT formation energy	-0.3885	eV per atom
polymorph energy (0 for the lowest one)	57	meV per atom

=====

Crystalline CaTm4Bi5 at its relaxed geometry, computed with GGA-PBE.

```
data_CaTm4Bi5
_chemical_formula_sum 'Ca2 Tm8 Bi10'
_symmetry_space_group_name_H-M 'I m m m'
_symmetry_Int_Tables_number 71
_symmetry_space_group_name_Hall '-I 2 2'
_cell_length_a 4.448
_cell_length_b 6.315
_cell_length_c 22.463
_cell_angle_alpha 90.00
_cell_angle_beta 90.00
_cell_angle_gamma 90.00
loop_
_atom_site_label
_atom_site_fract_x
_atom_site_fract_y
_atom_site_fract_z
Ca1 0.000 0.000 0.000
Tm1 0.000 0.000 0.201
Tm2 0.000 0.000 0.402
Bi1 0.000 0.500 0.000
Bi2 0.000 0.500 0.199
Bi3 0.000 0.500 0.395
```

## Properties
uncorrected energy	-4.689	eV/atom
DFT formation energy	-0.7602	eV per atom

=====

Crystalline Ba2P2Pb at its relaxed geometry, computed with GGA-PBE.

```
data_Ba2P2Pb
_chemical_formula_sum 'Ba4 P4 Pb2'
_symmetry_space_group_name_H-M 'I 4/m m m'
_symmetry_Int_Tables_number 139
_symmetry_space_group_name_Hall '-I 4 2'
_cell_length_a 5.638
_cell_length_b 5.638
_cell_length_c 10.824
_cell_angle_alpha 90.00
_cell_angle_beta 90.00
_cell_angle_gamma 90.00
loop_
_atom_site_label
_atom_site_fract_x
_atom_site_fract_y
_atom_site_fract_z
Ba1 0.000 0.500 0.250
P1 0.000 0.000 0.099
Pb1 0.000 0.000 0.500
```

## Properties
uncorrected energy	-3.990	eV/atom
DFT formation energy	-0.3155	eV per atom
polymorph energy (0 for the lowest one)	109	meV per atom

=====

Crystalline Cs2SrIn2Cl6 at its relaxed geometry, computed with GGA-PBE.

```
data_Cs2SrIn2Cl6
_chemical_formula_sum 'Cs4 Sr2 In4 Cl12'
_symmetry_space_group_name_H-M 'C 1 2/m 1'
_symmetry_Int_Tables_number 12
_symmetry_space_group_name_Hall '-C 2y'
_cell_length_a 11.764
_cell_length_b 8.093
_cell_length_c 9.080
_cell_angle_alpha 90.00
_cell_angle_beta 109.23
_cell_angle_gamma 90.00
loop_
_atom_site_label
_atom_site_fract_x
_atom_site_fract_y
_atom_site_fract_z
Cs1 0.199 0.000 0.126
Sr1 0.000 0.000 0.500
In1 0.101 0.500 0.191
Cl1 0.048 0.234 0.769
Cl2 0.248 0.000 0.511
```

## Properties
uncorrected energy	-3.473	eV/atom
formation energy from raw total energies	-1660	meV/atom

=====

Crystalline Cd2HgTe2 at its relaxed geometry, computed with GGA-PBE.

```
data_Cd2HgTe2
_chemical_formula_sum 'Cd4 Hg2 Te4'
_symmetry_space_group_name_H-M 'P 4/m b m'
_symmetry_Int_Tables_number 127
_symmetry_space_group_name_Hall '-P 4 2ab'
_cell_length_a 8.508
_cell_length_b 8.508
_cell_length_c 3.841
_cell_angle_alpha 90.00
_cell_angle_beta 90.00
_cell_angle_gamma 90.00
loop_
_atom_site_label
_atom_site_fract_x
_atom_site_fract_y
_atom_site_fract_z
Cd1 0.142 0.358 0.000
Hg1 0.000 0.000 0.000
Te1 0.160 0.660 0.500
```

## Properties
uncorrected energy	-1.729	eV/atom
polymorph energy (0 for the lowest one)	203	meV per atom
formation energy from raw total energies	-46	meV/atom

=====

Please write out number 4 again, unchanged.
Crystalline Ba2P2Pb at its relaxed geometry, computed with GGA-PBE.

```
data_Ba2P2Pb
_chemical_formula_sum 'Ba4 P4 Pb2'
_symmetry_space_group_name_H-M 'I 4/m m m'
_symmetry_Int_Tables_number 139
_symmetry_space_group_name_Hall '-I 4 2'
_cell_length_a 5.638
_cell_length_b 5.638
_cell_length_c 10.824
_cell_angle_alpha 90.00
_cell_angle_beta 90.00
_cell_angle_gamma 90.00
loop_
_atom_site_label
_atom_site_fract_x
_atom_site_fract_y
_atom_site_fract_z
Ba1 0.000 0.500 0.250
P1 0.000 0.000 0.099
Pb1 0.000 0.000 0.500
```

## Properties
uncorrected energy	-3.990	eV/atom
DFT formation energy	-0.3155	eV per atom
polymorph energy (0 for the lowest one)	109	meV per atom

=====

Repeat the fourth record exactly.
Crystalline Ba2P2Pb at its relaxed geometry, computed with GGA-PBE.

```
data_Ba2P2Pb
_chemical_formula_sum 'Ba4 P4 Pb2'
_symmetry_space_group_name_H-M 'I 4/m m m'
_symmetry_Int_Tables_number 139
_symmetry_space_group_name_Hall '-I 4 2'
_cell_length_a 5.638
_cell_length_b 5.638
_cell_length_c 10.824
_cell_angle_alpha 90.00
_cell_angle_beta 90.00
_cell_angle_gamma 90.00
loop_
_atom_site_label
_atom_site_fract_x
_atom_site_fract_y
_atom_site_fract_z
Ba1 0.000 0.500 0.250
P1 0.000 0.000 0.099
Pb1 0.000 0.000 0.500
```

## Properties
uncorrected energy	-3.990	eV/atom
DFT formation energy	-0.3155	eV per atom
polymorph energy (0 for the lowest one)	109	meV per atom

=====

Q: Which of these has the lowest uncorrected energy?
A: Mn3SiBr

=====

Please write out number 6 again, unchanged.
Crystalline Cd2HgTe2 at its relaxed geometry, computed with GGA-PBE.

```
data_Cd2HgTe2
_chemical_formula_sum 'Cd4 Hg2 Te4'
_symmetry_space_group_name_H-M 'P 4/m b m'
_symmetry_Int_Tables_number 127
_symmetry_space_group_name_Hall '-P 4 2ab'
_cell_length_a 8.508
_cell_length_b 8.508
_cell_length_c 3.841
_cell_angle_alpha 90.00
_cell_angle_beta 90.00
_cell_angle_gamma 90.00
loop_
_atom_site_label
_atom_site_fract_x
_atom_site_fract_y
_atom_site_fract_z
Cd1 0.142 0.358 0.000
Hg1 0.000 0.000 0.000
Te1 0.160 0.660 0.500
```

## Properties
uncorrected energy	-1.729	eV/atom
polymorph energy (0 for the lowest one)	203	meV per atom
formation energy from raw total energies	-46	meV/atom